## Th2CuAs4Ir3 (PBE)

Data for crystalline Th2CuAs4Ir3 at its relaxed geometry.

Cell and atoms, written as POSCAR:
```
Th2CuAs4Ir3
1.0
4.3819 0.0000 0.0000
0.0000 4.3819 0.0000
0.0000 0.0000 9.7702
Th Cu As Ir
2 1 4 3
direct
0.0000 0.5000 0.2492
0.5000 0.0000 0.7508
0.5000 0.5000 0.0000
0.0000 0.0000 0.5000
0.0000 0.5000 0.8700
0.5000 0.0000 0.1300
0.5000 0.5000 0.5000
0.0000 0.0000 0.0000
0.0000 0.5000 0.6185
0.5000 0.0000 0.3815
```

Summary:
* total moment: 0.000 μB/atom
* V: 187.6 Å³/cell
* ΔE_f: -734.0 meV per atom